Record 1
A relaxed ZnCuBiAu crystal, computed with GGA-PBE.

abc: 4.798 4.798 4.798
angles: 60.00 60.00 60.00
Sites, in units of the cell vectors:
Au1 0.250 0.250 0.250
Bi1 0.000 0.000 0.000
Cu1 0.750 0.750 0.750
Zn1 0.500 0.500 0.500

Calculated values
Crystal system: cubic
Energy above the most stable polymorph in this dataset in meV per atom: 37



Record 2
A relaxed Dy5BiAu2 crystal, computed with GGA-PBE.

abc: 7.485 7.485 10.016
angles: 111.94 111.94 90.00
Sites, in units of the cell vectors:
Au1 0.373 0.127 0.000
Au2 0.873 0.373 0.000
Au3 0.127 0.627 0.000
Au4 0.627 0.873 0.000
Bi1 0.250 0.250 0.500
Bi2 0.750 0.750 0.500
Dy1 0.000 0.000 0.000
Dy2 0.500 0.500 0.000
Dy3 0.828 0.005 0.333
Dy4 0.505 0.328 0.333
Dy5 0.005 0.505 0.333
Dy6 0.328 0.828 0.333
Dy7 0.672 0.172 0.667
Dy8 0.995 0.495 0.667
Dy9 0.495 0.672 0.667
Dy10 0.172 0.995 0.667

Calculated values
Crystal system: tetragonal
E in eV per cell: -72.321



Record 3
A relaxed DyHoBi4Au2 crystal, computed with GGA-PBE.

abc: 4.619 4.619 9.748
angles: 90.00 90.00 90.00
Sites, in units of the cell vectors:
Au1 0.500 0.000 0.999
Au2 0.000 0.500 0.999
Bi1 0.500 0.500 0.201
Bi2 0.500 0.000 0.501
Bi3 0.000 0.500 0.501
Bi4 0.000 0.000 0.799
Dy1 0.000 0.000 0.229
Ho1 0.500 0.500 0.772

Calculated values
Crystal system: tetragonal
E in eV per cell: -35.921



Record 4
A relaxed LaDyBi4Au2 crystal, computed with GGA-PBE.

abc: 4.655 4.655 9.973
angles: 90.00 90.00 90.00
Sites, in units of the cell vectors:
Au1 0.500 0.000 0.992
Au2 0.000 0.500 0.992
Bi1 0.000 0.000 0.186
Bi2 0.500 0.000 0.509
Bi3 0.000 0.500 0.509
Bi4 0.500 0.500 0.804
Dy1 0.000 0.000 0.769
La1 0.500 0.500 0.239

Calculated values
Crystal system: tetragonal
E in eV per cell: -36.919



Record 5
A relaxed NdDyBi4Au2 crystal, computed with GGA-PBE.

abc: 4.649 4.649 9.952
angles: 90.00 90.00 90.00
Sites, in units of the cell vectors:
Au1 0.500 0.000 0.994
Au2 0.000 0.500 0.994
Bi1 0.000 0.000 0.191
Bi2 0.500 0.000 0.506
Bi3 0.000 0.500 0.506
Bi4 0.500 0.500 0.802
Dy1 0.000 0.000 0.770
Nd1 0.500 0.500 0.237

Calculated values
Crystal system: tetragonal
E in eV per cell: -36.493



Record 6
A relaxed DyYBi4Au2 crystal, computed with GGA-PBE.

abc: 4.619 4.619 9.833
angles: 90.00 90.00 90.00
Sites, in units of the cell vectors:
Au1 0.500 0.000 0.999
Au2 0.000 0.500 0.999
Bi1 0.000 0.000 0.199
Bi2 0.500 0.000 0.501
Bi3 0.000 0.500 0.501
Bi4 0.500 0.500 0.800
Dy1 0.000 0.000 0.771
Y1 0.500 0.500 0.231

Calculated values
Crystal system: tetragonal
E in eV per cell: -37.919



Record 7
A relaxed ErBiAu2 crystal, computed with GGA-PBE.

abc: 4.563 5.856 5.856
angles: 37.66 90.00 90.00
Sites, in units of the cell vectors:
Au1 0.000 0.084 0.084
Au2 0.500 0.924 0.924
Bi1 0.000 0.350 0.350
Er1 0.500 0.642 0.642

Calculated values
Crystal system: orthorhombic
E in eV per cell: -17.143



Record 8
A relaxed Bi3AuF crystal, computed with GGA-PBE.

abc: 5.018 5.018 5.018
angles: 90.00 90.00 90.00
Sites, in units of the cell vectors:
Au1 0.000 0.000 0.000
Bi1 0.500 0.500 0.000
Bi2 0.500 0.000 0.500
Bi3 0.000 0.500 0.500
F1 0.500 0.500 0.500

Calculated values
Crystal system: cubic
E in eV per cell: -17.593



Record 9
A relaxed Fe2BiAu crystal, computed with GGA-PBE.

abc: 4.654 4.654 4.654
angles: 60.00 60.00 60.00
Site moments in Bohr magnetons follow the coordinates.
Sites, in units of the cell vectors:
Au1 0.250 0.250 0.250  0.01
Bi1 0.500 0.500 0.500  -0.04
Fe1 0.000 0.000 0.000  2.85
Fe2 0.750 0.750 0.750  2.53

Calculated values
Crystal system: cubic
E in eV per cell: -21.891



Record 10
A relaxed HfFeBiAu crystal, computed with GGA-PBE.

abc: 4.732 4.732 4.732
angles: 60.00 60.00 60.00
Sites, in units of the cell vectors:
Au1 0.750 0.750 0.750
Bi1 0.250 0.250 0.250
Fe1 0.500 0.500 0.500
Hf1 0.000 0.000 0.000

Calculated values
Crystal system: cubic
Energy above the most stable polymorph in this dataset in meV per atom: 0



Record 11
A relaxed HfFeBiAu crystal, computed with GGA-PBE.

abc: 4.765 4.765 4.765
angles: 60.00 60.00 60.00
Sites, in units of the cell vectors:
Au1 0.750 0.750 0.750
Bi1 0.500 0.500 0.500
Fe1 0.250 0.250 0.250
Hf1 0.000 0.000 0.000

Calculated values
Crystal system: cubic
Energy above the most stable polymorph in this dataset in meV per atom: 17



Record 12
A relaxed HfFeBiAu crystal, computed with GGA-PBE.

abc: 4.781 4.781 4.781
angles: 60.00 60.00 60.00
Sites, in units of the cell vectors:
Au1 0.750 0.750 0.750
Bi1 0.000 0.000 0.000
Fe1 0.500 0.500 0.500
Hf1 0.250 0.250 0.250

Calculated values
Crystal system: cubic
Energy above the most stable polymorph in this dataset in meV per atom: 161